Entry from Alexandria: a relaxed structure of Y2AuIO (PBE-GGA).

The total energy comes out at -3.886 eV per atom. For the formation energy without anion corrections, the calculation gives 0.6569 eV/atom. For the theoretical density, the calculation gives 5.32 Mg/m³.

The structure belongs to space group P4/mmm (No. 123); the cell edges are 5.6181, 5.6181 and 5.1185 Å and the angles 90.00°, 90.00° and 90.00°. The distinct sites, in fractional coordinates, are Y at (0.0000, 0.5000, 0.0000), Au at (0.0000, 0.0000, 0.5000), I at (0.0000, 0.0000, 0.0000) and O at (0.5000, 0.5000, 0.5000).

Entry from Alexandria: a relaxed structure of ZnAuI2O (PBE-GGA).

The total energy comes out at -2.460 eV per atom. For the formation energy without anion corrections, the calculation gives 0.0616 eV/atom. For the theoretical density, the calculation gives 6.86 Mg/m³. Its energy above the most stable polymorph in this dataset is 0.000 eV per atom.

The structure belongs to space group P4/mmm (No. 123); the cell edges are 6.0529, 6.0529 and 3.5136 Å and the angles 90.00°, 90.00° and 90.00°. The distinct sites, in fractional coordinates, are Zn at (0.0000, 0.0000, 0.0000), Au at (0.5000, 0.5000, 0.5000), I at (0.0000, 0.5000, 0.0000) and O at (0.0000, 0.0000, 0.5000).

Entry from Alexandria: a relaxed structure of ZnAuI2O (PBE-GGA).

The total energy comes out at -2.219 eV per atom. For the formation energy without anion corrections, the calculation gives 0.3027 eV/atom. For the theoretical density, the calculation gives 6.65 Mg/m³. Its energy above the most stable polymorph in this dataset is 0.241 eV per atom.

The structure belongs to space group P4/mmm (No. 123); the cell edges are 5.7644, 5.7644 and 3.9966 Å and the angles 90.00°, 90.00° and 90.00°. The distinct sites, in fractional coordinates, are Zn at (0.0000, 0.0000, 0.0000), Au at (0.5000, 0.5000, 0.5000), I at (0.0000, 0.5000, 0.5000) and O at (0.5000, 0.5000, 0.0000).

Entry from Alexandria: a relaxed structure of ZnAuI2O (PBE-GGA).

The total energy comes out at -1.621 eV per atom. For the formation energy without anion corrections, the calculation gives 0.9009 eV/atom. For the theoretical density, the calculation gives 6.02 Mg/m³. Its energy above the most stable polymorph in this dataset is 0.839 eV per atom.

The structure belongs to space group P4/mmm (No. 123); the cell edges are 5.4476, 5.4476 and 4.9496 Å and the angles 90.00°, 90.00° and 90.00°. The distinct sites, in fractional coordinates, are Zn at (0.0000, 0.0000, 0.0000), Au at (0.0000, 0.0000, 0.5000), I at (0.0000, 0.5000, 0.0000) and O at (0.5000, 0.5000, 0.5000).

Entry from Alexandria: a relaxed structure of ZrAuIO2 (PBE-GGA).

The total energy comes out at -6.045 eV per atom. For the formation energy without anion corrections, the calculation gives -1.3869 eV/atom. For the theoretical density, the calculation gives 6.90 Mg/m³. Its energy above the most stable polymorph in this dataset is 0.000 eV per atom.

The structure belongs to space group P4/mmm (No. 123); the cell edges are 4.0893, 4.0893 and 6.4306 Å and the angles 90.00°, 90.00° and 90.00°. The distinct sites, in fractional coordinates, are Zr at (0.0000, 0.0000, 0.0000), Au at (0.5000, 0.5000, 0.5000), I at (0.0000, 0.0000, 0.5000) and O at (0.0000, 0.5000, 0.0000).

Entry from Alexandria: a relaxed structure of ZrAuIO2 (PBE-GGA).

The total energy comes out at -4.294 eV per atom. For the formation energy without anion corrections, the calculation gives 0.3642 eV/atom. For the theoretical density, the calculation gives 7.72 Mg/m³. Its energy above the most stable polymorph in this dataset is 1.751 eV per atom.

The structure belongs to space group P4/mmm (No. 123); the cell edges are 4.2379, 4.2379 and 5.3528 Å and the angles 90.00°, 90.00° and 90.00°. The distinct sites, in fractional coordinates, are Zr at (0.0000, 0.0000, 0.0000), Au at (0.5000, 0.5000, 0.5000), I at (0.5000, 0.5000, 0.0000) and O at (0.0000, 0.5000, 0.5000).

Entry from Alexandria: a relaxed structure of ZrAuI2O (PBE-GGA).

The total energy comes out at -3.640 eV per atom. For the formation energy without anion corrections, the calculation gives 0.3368 eV/atom. For the theoretical density, the calculation gives 6.97 Mg/m³. Its energy above the most stable polymorph in this dataset is 1.151 eV per atom.

The structure belongs to space group P4/mmm (No. 123); the cell edges are 5.8274, 5.8274 and 3.9127 Å and the angles 90.00°, 90.00° and 90.00°. The distinct sites, in fractional coordinates, are Zr at (0.0000, 0.0000, 0.0000), Au at (0.5000, 0.5000, 0.5000), I at (0.0000, 0.5000, 0.5000) and O at (0.5000, 0.5000, 0.0000).

Entry from Alexandria: a relaxed structure of ZrAuI2O (PBE-GGA).

The total energy comes out at -4.791 eV per atom. For the formation energy without anion corrections, the calculation gives -0.8139 eV/atom. For the theoretical density, the calculation gives 6.76 Mg/m³. Its energy above the most stable polymorph in this dataset is 0.000 eV per atom.

The structure belongs to space group P4/mmm (No. 123); the cell edges are 5.8461, 5.8461 and 4.0112 Å and the angles 90.00°, 90.00° and 90.00°. The distinct sites, in fractional coordinates, are Zr at (0.0000, 0.0000, 0.0000), Au at (0.5000, 0.5000, 0.5000), I at (0.0000, 0.5000, 0.0000) and O at (0.0000, 0.0000, 0.5000).

Entry from Alexandria: a relaxed structure of Os2AuI (PBE-GGA).

The total energy comes out at -5.387 eV per atom. For the formation energy without anion corrections, the calculation gives 1.4348 eV/atom. For the theoretical density, the calculation gives 16.98 Mg/m³. Its energy above the most stable polymorph in this dataset is 0.091 eV per atom.

The structure belongs to space group Fm-3m (No. 225); the cell edges are 6.5070, 6.5070 and 6.5070 Å and the angles 90.00°, 90.00° and 90.00°. The distinct sites, in fractional coordinates, are Os at (0.2500, 0.2500, 0.2500), Au at (0.0000, 0.0000, 0.0000) and I at (0.0000, 0.0000, 0.5000).

Entry from Alexandria: a relaxed structure of OsAu2I (PBE-GGA).

The total energy comes out at -3.472 eV per atom. For the formation energy without anion corrections, the calculation gives 1.3617 eV/atom. For the theoretical density, the calculation gives 15.00 Mg/m³. Its energy above the most stable polymorph in this dataset is 0.284 eV per atom.

The structure belongs to space group Fm-3m (No. 225); the cell edges are 6.8026, 6.8026 and 6.8026 Å and the angles 90.00°, 90.00° and 90.00°. The distinct sites, in fractional coordinates, are Os at (0.0000, 0.0000, 0.0000), Au at (0.2500, 0.2500, 0.2500) and I at (0.0000, 0.0000, 0.5000).

Entry from Alexandria: a relaxed structure of Os2AuI (PBE-GGA).

The total energy comes out at -5.478 eV per atom. For the formation energy without anion corrections, the calculation gives 1.3441 eV/atom. For the theoretical density, the calculation gives 13.86 Mg/m³. Its energy above the most stable polymorph in this dataset is 0.000 eV per atom.

The structure belongs to space group I-42d (No. 122); the cell edges are 4.1062, 4.1062 and 20.0121 Å and the angles 90.00°, 90.00° and 90.00°. The distinct sites, in fractional coordinates, are Os at (0.1497, 0.2500, 0.1250), Au at (0.0000, 0.0000, 0.0000) and I at (0.0000, 0.0000, 0.5000).

Entry from Alexandria: a relaxed structure of OsAuI3 (PBE-GGA).

The total energy comes out at -2.928 eV per atom. For the formation energy without anion corrections, the calculation gives 0.9032 eV/atom. For the theoretical density, the calculation gives 8.03 Mg/m³. Its energy above the most stable polymorph in this dataset is 0.000 eV per atom.

The structure belongs to space group Pm-3m (No. 221); the cell edges are 5.4158, 5.4158 and 5.4158 Å and the angles 90.00°, 90.00° and 90.00°. The distinct sites, in fractional coordinates, are Os at (0.0000, 0.0000, 0.0000), Au at (0.5000, 0.5000, 0.5000) and I at (0.0000, 0.0000, 0.5000).

Entry from Alexandria: a relaxed structure of OsAu2I (PBE-GGA).

The total energy comes out at -3.756 eV per atom. For the formation energy without anion corrections, the calculation gives 1.0776 eV/atom. For the theoretical density, the calculation gives 13.58 Mg/m³. Its energy above the most stable polymorph in this dataset is 0.000 eV per atom.

The structure belongs to space group I-42d (No. 122); the cell edges are 8.0268, 8.0268 and 5.3962 Å and the angles 90.00°, 90.00° and 90.00°. The distinct sites, in fractional coordinates, are Os at (0.0000, 0.0000, 0.0000), Au at (0.2072, 0.7500, 0.1250) and I at (0.0000, 0.0000, 0.5000).

Entry from Alexandria: a relaxed structure of RbOsAuI2 (PBE-GGA).

The total energy comes out at -3.013 eV per atom. For the formation energy without anion corrections, the calculation gives 0.7021 eV/atom. For the theoretical density, the calculation gives 6.16 Mg/m³.

The structure belongs to space group P4/mmm (No. 123); the cell edges are 5.2063, 5.2063 and 7.2257 Å and the angles 90.00°, 90.00° and 90.00°. The distinct sites, in fractional coordinates, are Rb at (0.0000, 0.0000, 0.0000), Os at (0.0000, 0.0000, 0.5000), Au at (0.5000, 0.5000, 0.0000) and I at (0.0000, 0.5000, 0.5000).

Entry from Alexandria: a relaxed structure of Sb2OsAuI (PBE-GGA).

The total energy comes out at -4.109 eV per atom. For the formation energy without anion corrections, the calculation gives 0.7511 eV/atom. For the theoretical density, the calculation gives 8.64 Mg/m³. Its energy above the most stable polymorph in this dataset is 0.000 eV per atom.

The structure belongs to space group P4/mmm (No. 123); the cell edges are 5.0384, 5.0384 and 5.7382 Å and the angles 90.00°, 90.00° and 90.00°. The distinct sites, in fractional coordinates, are Sb at (0.0000, 0.5000, 0.0000), Os at (0.0000, 0.0000, 0.0000), Au at (0.5000, 0.5000, 0.5000) and I at (0.0000, 0.0000, 0.5000).

Entry from Alexandria: a relaxed structure of SbOsAuI2 (PBE-GGA).

The total energy comes out at -3.462 eV per atom. For the formation energy without anion corrections, the calculation gives 0.8836 eV/atom. For the theoretical density, the calculation gives 8.31 Mg/m³. Its energy above the most stable polymorph in this dataset is 0.000 eV per atom.

The structure belongs to space group P4/mmm (No. 123); the cell edges are 5.5148, 5.5148 and 5.0137 Å and the angles 90.00°, 90.00° and 90.00°. The distinct sites, in fractional coordinates, are Sb at (0.0000, 0.0000, 0.0000), Os at (0.0000, 0.0000, 0.5000), Au at (0.5000, 0.5000, 0.0000) and I at (0.0000, 0.5000, 0.5000).

Entry from Alexandria: a relaxed structure of ScOsAuI2 (PBE-GGA).

The total energy comes out at -3.565 eV per atom. For the formation energy without anion corrections, the calculation gives 1.2231 eV/atom. For the theoretical density, the calculation gives 7.28 Mg/m³.

The structure belongs to space group P4/mmm (No. 123); the cell edges are 5.5125, 5.5125 and 5.1461 Å and the angles 90.00°, 90.00° and 90.00°. The distinct sites, in fractional coordinates, are Sc at (0.0000, 0.0000, 0.0000), Os at (0.5000, 0.5000, 0.0000), Au at (0.5000, 0.5000, 0.5000) and I at (0.0000, 0.5000, 0.5000).

Entry from Alexandria: a relaxed structure of TeOsAuI2 (PBE-GGA).

The total energy comes out at -3.292 eV per atom. For the formation energy without anion corrections, the calculation gives 0.8577 eV/atom. For the theoretical density, the calculation gives 8.22 Mg/m³. Its energy above the most stable polymorph in this dataset is 0.000 eV per atom.

The structure belongs to space group P4/mmm (No. 123); the cell edges are 5.6012, 5.6012 and 4.9514 Å and the angles 90.00°, 90.00° and 90.00°. The distinct sites, in fractional coordinates, are Te at (0.0000, 0.0000, 0.0000), Os at (0.0000, 0.0000, 0.5000), Au at (0.5000, 0.5000, 0.0000) and I at (0.0000, 0.5000, 0.5000).

Entry from Alexandria: a relaxed structure of Te2OsAuI (PBE-GGA).

The total energy comes out at -3.609 eV per atom. For the formation energy without anion corrections, the calculation gives 0.8592 eV/atom. For the theoretical density, the calculation gives 8.52 Mg/m³. Its energy above the most stable polymorph in this dataset is 0.000 eV per atom.

The structure belongs to space group P4/mmm (No. 123); the cell edges are 5.1165, 5.1165 and 5.7304 Å and the angles 90.00°, 90.00° and 90.00°. The distinct sites, in fractional coordinates, are Te at (0.0000, 0.5000, 0.0000), Os at (0.0000, 0.0000, 0.0000), Au at (0.5000, 0.5000, 0.5000) and I at (0.0000, 0.0000, 0.5000).

Entry from Alexandria: a relaxed structure of Ti2OsAuI (PBE-GGA).

The total energy comes out at -5.569 eV per atom. For the formation energy without anion corrections, the calculation gives 0.8008 eV/atom. For the theoretical density, the calculation gives 8.32 Mg/m³. Its energy above the most stable polymorph in this dataset is 0.000 eV per atom.

The structure belongs to space group P4/mmm (No. 123); the cell edges are 4.7624, 4.7624 and 5.3666 Å and the angles 90.00°, 90.00° and 90.00°. The distinct sites, in fractional coordinates, are Ti at (0.0000, 0.5000, 0.0000), Os at (0.0000, 0.0000, 0.0000), Au at (0.5000, 0.5000, 0.5000) and I at (0.0000, 0.0000, 0.5000).